(1)
TeP2IrCl, single point on PBEsol structure, DFT SCAN; space-group type = P4/mmm, No. 123; energy = -26.996 eV/atom; theoretical density = 6.9 Mg/m³; ΔE_f (raw) = 9.90 kcal/mol of atoms
1.0
4.600 0.000 0.000
0.000 4.600 0.000
0.000 0.000 4.748
Te P Ir Cl
1 2 1 1
direct
0.000 0.000 0.000
0.000 0.500 0.500
0.500 0.000 0.500
0.500 0.500 0.500
0.500 0.500 0.000

***

(2)
YP2IrCl, single point on PBEsol structure, DFT SCAN; space-group type = P4/mmm, No. 123; energy = -25.760 eV/atom; theoretical density = 6.2 Mg/m³; ΔE_f (raw) = -4.99 kcal/mol of atoms
1.0
4.567 0.000 0.000
0.000 4.567 0.000
0.000 0.000 4.866
Y P Ir Cl
1 2 1 1
direct
0.000 0.000 0.000
0.000 0.500 0.500
0.500 0.000 0.500
0.500 0.500 0.500
0.500 0.500 0.000